(1)
Entry from the Alexandria database: crystalline DyBeZnCd at its relaxed geometry (PBE-GGA).

a b c (Å): 6.617 6.617 6.617
angles (deg): 90.00 90.00 90.00
Space group F-43m (No. 216)
Asymmetric unit:
Dy  0.000  0.000  0.000 (multiplicity 4)
Be  0.250  0.250  0.750 (multiplicity 4)
Zn  0.250  0.250  0.250 (multiplicity 4)
Cd  0.000  0.000  0.500 (multiplicity 4)

* total DFT energy (no corrections): -43.45 eV per cell
* density of states at the Fermi level: 7.05 states/eV/cell
* energy of formation: -33 kJ/mol of formula units

***

(2)
Entry from the Alexandria database: crystalline La2PmNd6Tm3 at its relaxed geometry (PBE-GGA).

a b c (Å): 6.321 10.957 12.015
angles (deg): 90.00 100.10 90.00
Space group C2/m (No. 12)
Asymmetric unit:
La  0.000  0.167  0.000 (multiplicity 4)
Pm  0.000  0.500  0.000 (multiplicity 2)
Nd  0.247  0.500  0.743 (multiplicity 4)
Nd  0.248  0.166  0.743 (multiplicity 8)
Tm  0.000  0.000  0.500 (multiplicity 2)
Tm  0.000  0.334  0.500 (multiplicity 4)

* total DFT energy (no corrections): -112.73 eV per cell
* density of states at the Fermi level: 33.53 states/eV/cell
* energy of formation: 25 kJ/mol of formula units

***

(3)
Entry from the Alexandria database: crystalline Sm3Sc5O12 at its relaxed geometry (PBE-GGA).

a b c (Å): 13.015 13.015 13.015
angles (deg): 90.00 90.00 90.00
Space group Ia-3d (No. 230)
Asymmetric unit:
Sm  0.000  0.250  0.125 (multiplicity 24)
Sc  0.000  0.000  0.000 (multiplicity 16)
Sc  0.000  0.250  0.375 (multiplicity 24)
O  0.025  0.058  0.651 (multiplicity 96)

* ΔE_f (raw): -3454 meV/atom
* total DFT energy (no corrections): -1395.13 eV per cell
* density of states at the Fermi level: 0.00 states/eV/cell

***

(4)
Entry from the Alexandria database: crystalline Zr2Be2Sn at its relaxed geometry (PBE-GGA).

a b c (Å): 6.519 6.519 3.934
angles (deg): 90.00 90.00 90.00
Space group P4/mbm (No. 127)
Asymmetric unit:
Zr  0.171  0.329  0.000 (multiplicity 4)
Be  0.115  0.615  0.500 (multiplicity 4)
Sn  0.000  0.000  0.500 (multiplicity 2)

* total DFT energy (no corrections): -60.77 eV per cell
* density of states at the Fermi level: 6.37 states/eV/cell
* energy of formation: -177 kJ/mol of formula units